[1]
First-principles (SCAN) data for a crystal of Ca3SbP relaxed with PBEsol, as listed in Alexandria via LeMat-Bulk.

Unit cell a=7.738 b=10.478 c=7.338 alpha=90.00 beta=90.00 gamma=90.00
Space group Pnma (No. 62)
One atom of each set of equivalent atoms:
1 Ca 0.044 0.250 0.109 (multiplicity 4)
2 Ca 0.196 0.055 0.693 (multiplicity 8)
3 Sb 0.069 0.750 0.480 (multiplicity 4)
4 P 0.000 0.000 0.000 (multiplicity 4)

The value obtained for the magnetization is 0.000 μB/f.u. As for the volume: 29.8 Å³ per atom. For the mass density, the calculation gives 3.047 g cm⁻³. The uncorrected formation energy is -1.222 eV per atom. As for the density of states at the Fermi level: 0.00 states/eV/atom.

[2]
First-principles (SCAN) data for a crystal of MgZr2In relaxed with PBEsol, as listed in Alexandria via LeMat-Bulk.

Unit cell a=7.062 b=7.062 c=7.062 alpha=90.00 beta=90.00 gamma=90.00
Space group F-43m (No. 216)
One atom of each set of equivalent atoms:
1 Mg 0.000 0.000 0.000 (multiplicity 4)
2 Zr 0.000 0.000 0.500 (multiplicity 4)
3 Zr 0.250 0.250 0.250 (multiplicity 4)
4 In 0.250 0.250 0.750 (multiplicity 4)

The value obtained for the magnetization is 3.059 μB/f.u. As for the volume: 22.0 Å³ per atom. For the mass density, the calculation gives 6.063 g cm⁻³. The value obtained for the formation energy is 0.007 eV/atom. As for the density of states at the Fermi level: 0.74 states/eV/atom.

[3]
First-principles (SCAN) data for a crystal of CdAgHg2 relaxed with PBEsol, as listed in Alexandria via LeMat-Bulk.

Unit cell a=9.907 b=3.216 c=5.098 alpha=90.00 beta=99.08 gamma=90.00
Space group Cm (No. 8)
One atom of each set of equivalent atoms:
1 Cd 0.000 0.000 0.000 (multiplicity 2)
2 Ag 0.260 0.000 0.753 (multiplicity 2)
3 Hg 0.013 0.500 0.519 (multiplicity 2)
4 Hg 0.252 0.500 0.244 (multiplicity 2)

The value obtained for the magnetization is 0.000 μB/f.u. As for the volume: 20.1 Å³ per atom. For the mass density, the calculation gives 12.866 g cm⁻³. The value obtained for the formation energy is 0.041 eV/atom. As for the density of states at the Fermi level: 0.30 states/eV/atom.

[4]
First-principles (SCAN) data for a crystal of CrAs2Cl relaxed with PBEsol, as listed in Alexandria via LeMat-Bulk.

Unit cell a=6.564 b=6.564 c=6.564 alpha=90.00 beta=90.00 gamma=90.00
Space group F-43m (No. 216)
One atom of each set of equivalent atoms:
1 Cr 0.000 0.000 0.000 (multiplicity 4)
2 As 0.000 0.000 0.500 (multiplicity 4)
3 As 0.250 0.250 0.750 (multiplicity 4)
4 Cl 0.250 0.250 0.250 (multiplicity 4)

The value obtained for the magnetization is 4.283 μB/f.u. As for the volume: 17.7 Å³ per atom. For the mass density, the calculation gives 5.573 g cm⁻³. The uncorrected formation energy is 0.223 eV per atom. As for the density of states at the Fermi level: 0.52 states/eV/atom. The energy above the lowest structure with this stoichiometry comes out at 2.18 eV per formula unit.

[5]
First-principles (SCAN) data for a crystal of Sr4CuIr2O9 relaxed with PBEsol, as listed in Alexandria via LeMat-Bulk.

Unit cell a=7.962 b=9.635 c=9.687 alpha=60.41 beta=89.84 gamma=89.98
Space group P1 (No. 1)
One atom of each set of equivalent atoms:
1 Sr 0.000 0.000 0.000 (multiplicity 1)
2 Sr 0.000 0.329 0.328 (multiplicity 1)
3 Sr 0.002 0.684 0.643 (multiplicity 1)
4 Sr 0.248 0.976 0.662 (multiplicity 1)
5 Sr 0.257 0.333 0.018 (multiplicity 1)
6 Sr 0.258 0.690 0.309 (multiplicity 1)
7 Sr 0.495 0.362 0.334 (multiplicity 1)
8 Sr 0.500 0.644 0.683 (multiplicity 1)
9 Sr 0.505 0.996 0.975 (multiplicity 1)
10 Sr 0.745 0.309 0.989 (multiplicity 1)
11 Sr 0.747 0.015 0.646 (multiplicity 1)
12 Sr 0.749 0.674 0.348 (multiplicity 1)
13 Cu 0.267 0.275 0.716 (multiplicity 1)
14 Cu 0.500 0.003 0.386 (multiplicity 1)
15 Cu 0.734 0.609 0.055 (multiplicity 1)
16 Ir 0.080 0.670 0.987 (multiplicity 1)
17 Ir 0.157 0.008 0.317 (multiplicity 1)
18 Ir 0.392 0.668 0.989 (multiplicity 1)
19 Ir 0.609 0.340 0.656 (multiplicity 1)
20 Ir 0.843 0.007 0.319 (multiplicity 1)
21 Ir 0.922 0.344 0.652 (multiplicity 1)
22 O 0.002 0.845 0.310 (multiplicity 1)
23 O 0.049 0.523 0.496 (multiplicity 1)
24 O 0.078 0.321 0.820 (multiplicity 1)
25 O 0.082 0.199 0.634 (multiplicity 1)
26 O 0.236 0.507 0.174 (multiplicity 1)
27 O 0.238 0.648 0.829 (multiplicity 1)
28 O 0.239 0.850 0.968 (multiplicity 1)
29 O 0.293 0.009 0.149 (multiplicity 1)
30 O 0.308 0.844 0.482 (multiplicity 1)
31 O 0.313 0.161 0.332 (multiplicity 1)
32 O 0.454 0.184 0.646 (multiplicity 1)
33 O 0.457 0.316 0.832 (multiplicity 1)
34 O 0.471 0.519 0.498 (multiplicity 1)
35 O 0.530 0.827 0.812 (multiplicity 1)
36 O 0.545 0.681 0.146 (multiplicity 1)
37 O 0.546 0.493 0.014 (multiplicity 1)
38 O 0.686 0.163 0.327 (multiplicity 1)
39 O 0.692 0.848 0.489 (multiplicity 1)
40 O 0.709 0.997 0.155 (multiplicity 1)
41 O 0.762 0.362 0.474 (multiplicity 1)
42 O 0.763 0.502 0.676 (multiplicity 1)
43 O 0.765 0.157 0.815 (multiplicity 1)
44 O 0.920 0.688 0.133 (multiplicity 1)
45 O 0.922 0.501 0.013 (multiplicity 1)
46 O 0.954 0.828 0.809 (multiplicity 1)
47 O 0.999 0.014 0.486 (multiplicity 1)
48 O 0.999 0.173 0.151 (multiplicity 1)

The value obtained for the magnetization is 0.984 μB/f.u. As for the volume: 13.5 Å³ per atom. For the mass density, the calculation gives 7.265 g cm⁻³. The uncorrected formation energy is -2.050 eV per atom.

[6]
First-principles (SCAN) data for a crystal of Sr2LiAg2 relaxed with PBEsol, as listed in Alexandria via LeMat-Bulk.

Unit cell a=3.933 b=3.933 c=19.353 alpha=90.00 beta=90.00 gamma=90.00
Space group I4/mmm (No. 139)
One atom of each set of equivalent atoms:
1 Sr 0.000 0.000 0.117 (multiplicity 4)
2 Li 0.000 0.000 0.500 (multiplicity 2)
3 Ag 0.000 0.500 0.250 (multiplicity 4)

The value obtained for the magnetization is 0.025 μB/f.u. As for the volume: 29.9 Å³ per atom. For the mass density, the calculation gives 4.414 g cm⁻³. The value obtained for the formation energy is -0.016 eV/atom. As for the density of states at the Fermi level: 0.45 states/eV/atom. The energy above the lowest structure with this stoichiometry comes out at 1.15 eV per formula unit.

[7]
First-principles (SCAN) data for a crystal of MgTl relaxed with PBEsol, as listed in Alexandria via LeMat-Bulk.

Unit cell a=3.616 b=3.616 c=3.616 alpha=90.00 beta=90.00 gamma=90.00
Space group Pm-3m (No. 221)
One atom of each set of equivalent atoms:
1 Mg 0.000 0.000 0.000 (multiplicity 1)
2 Tl 0.500 0.500 0.500 (multiplicity 1)

The value obtained for the magnetization is 0.000 μB/f.u. As for the volume: 23.6 Å³ per atom. For the mass density, the calculation gives 8.030 g cm⁻³. The value obtained for the formation energy is -0.128 eV/atom. As for the density of states at the Fermi level: 0.27 states/eV/atom.

[8]
First-principles (SCAN) data for a crystal of TiIrI3 relaxed with PBEsol, as listed in Alexandria via LeMat-Bulk.

Unit cell a=5.323 b=5.323 c=5.323 alpha=90.00 beta=90.00 gamma=90.00
Space group Pm-3m (No. 221)
One atom of each set of equivalent atoms:
1 Ti 0.000 0.000 0.000 (multiplicity 1)
2 Ir 0.500 0.500 0.500 (multiplicity 1)
3 I 0.000 0.000 0.500 (multiplicity 3)

The value obtained for the magnetization is 2.003 μB/f.u. As for the volume: 30.2 Å³ per atom. For the mass density, the calculation gives 6.833 g cm⁻³. The uncorrected formation energy is 0.873 eV per atom. As for the density of states at the Fermi level: 1.13 states/eV/atom.

[9]
First-principles (SCAN) data for a crystal of LuMgAu2 relaxed with PBEsol, as listed in Alexandria via LeMat-Bulk.

Unit cell a=6.734 b=6.734 c=6.734 alpha=90.00 beta=90.00 gamma=90.00
Space group Fm-3m (No. 225)
One atom of each set of equivalent atoms:
1 Lu 0.000 0.000 0.000 (multiplicity 4)
2 Mg 0.000 0.000 0.500 (multiplicity 4)
3 Au 0.250 0.250 0.250 (multiplicity 8)

The value obtained for the magnetization is 0.000 μB/f.u. As for the volume: 19.1 Å³ per atom. For the mass density, the calculation gives 12.901 g cm⁻³. The value obtained for the formation energy is -0.992 eV/atom. As for the density of states at the Fermi level: 0.47 states/eV/atom.

[10]
First-principles (SCAN) data for a crystal of ZnCoPb relaxed with PBEsol, as listed in Alexandria via LeMat-Bulk.

Unit cell a=3.1281 b=3.1281 c=6.2290 alpha=90.00 beta=90.00 gamma=120.00
Space group P3m1 (No. 156)
One atom of each set of equivalent atoms:
1 Zn 0.0000 0.0000 0.0000 (multiplicity 1)
2 Co 0.3333 0.6667 0.7350 (multiplicity 1)
3 Pb 0.6667 0.3333 0.4136 (multiplicity 1)

The value obtained for the magnetization is 1.405 μB/f.u. As for the volume: 17.6 Å³ per atom. For the mass density, the calculation gives 10.430 g cm⁻³. The value obtained for the formation energy is 0.545 eV/atom. As for the density of states at the Fermi level: 0.76 states/eV/atom.

[11]
First-principles (SCAN) data for a crystal of Re4AsOs relaxed with PBEsol, as listed in Alexandria via LeMat-Bulk.

Unit cell a=7.250 b=7.250 c=7.250 alpha=90.00 beta=90.00 gamma=90.00
Space group F-43m (No. 216)
One atom of each set of equivalent atoms:
1 Re 0.125 0.125 0.125 (multiplicity 16)
2 As 0.000 0.000 0.500 (multiplicity 4)
3 Os 0.250 0.250 0.750 (multiplicity 4)

The value obtained for the magnetization is 0.000 μB/f.u. As for the volume: 15.9 Å³ per atom. For the mass density, the calculation gives 17.600 g cm⁻³. The value obtained for the formation energy is 0.901 eV/atom. As for the density of states at the Fermi level: 0.78 states/eV/atom.

[12]
First-principles (SCAN) data for a crystal of NiRu5 relaxed with PBEsol, as listed in Alexandria via LeMat-Bulk.

Unit cell a=4.206 b=2.677 c=13.739 alpha=90.00 beta=90.00 gamma=90.00
Space group Amm2 (No. 38)
One atom of each set of equivalent atoms:
1 Ni 0.000 0.000 0.000 (multiplicity 2)
2 Ru 0.000 0.000 0.333 (multiplicity 2)
3 Ru 0.000 0.000 0.665 (multiplicity 2)
4 Ru 0.500 0.000 0.222 (multiplicity 2)
5 Ru 0.500 0.000 0.553 (multiplicity 2)
6 Ru 0.500 0.000 0.891 (multiplicity 2)

The value obtained for the magnetization is 0.001 μB/f.u. As for the volume: 12.9 Å³ per atom. For the mass density, the calculation gives 12.110 g cm⁻³. The value obtained for the formation energy is 0.064 eV/atom. As for the density of states at the Fermi level: 0.86 states/eV/atom. The energy above the lowest structure with this stoichiometry comes out at 0.00 eV per formula unit.